[1]
Computed, not measured: an optimized crystal structure of Rb2BaCl2 at the GGA-PBE level of DFT.

Cell: 8.5581 8.5581 8.5581 Å, 139.90 139.90 58.00°
Fractional coordinates of all 5 atoms:
Rb  0.1664  0.1664  0.0000
Rb  0.8336  0.8336  0.0000
Ba  0.5000  0.5000  0.0000
Cl  0.2500  0.7500  0.5000
Cl  0.7500  0.2500  0.5000

**Magnetization**: 0.0 μB/f.u.
**Formation energy (no corrections)**: -1195 meV per atom
**Theoretical density**: 2.44 g cm⁻³

***

[2]
Computed, not measured: an optimized crystal structure of Rb3BaCl at the GGA-PBE level of DFT.

Cell: 6.8132 6.8132 6.8132 Å, 90.00 90.00 90.00°
Fractional coordinates of all 5 atoms:
Rb  0.0000  0.0000  0.5000
Rb  0.0000  0.5000  0.0000
Rb  0.5000  0.0000  0.0000
Ba  0.5000  0.5000  0.5000
Cl  0.0000  0.0000  0.0000

**Magnetization**: 1.6 μB/f.u.
**Formation energy (no corrections)**: -571 meV per atom
**Theoretical density**: 2.25 g cm⁻³

***

[3]
Computed, not measured: an optimized crystal structure of RbBa2Cl at the GGA-PBE level of DFT.

Cell: 8.6401 8.6401 8.6401 Å, 105.31 105.31 118.16°
Fractional coordinates of all 8 atoms:
Rb  0.0000  0.0000  0.0000
Rb  0.7500  0.2500  0.5000
Ba  0.2444  0.1250  0.6194
Ba  0.3750  0.7556  0.8806
Ba  0.5056  0.6250  0.3806
Ba  0.8750  0.4944  0.1194
Cl  0.2500  0.7500  0.5000
Cl  0.5000  0.5000  0.0000

**Magnetization**: 0.7 μB/f.u.
**Formation energy (no corrections)**: -702 meV per atom
**Theoretical density**: 2.69 g cm⁻³

***

[4]
Computed, not measured: an optimized crystal structure of Rb2BaCl2 at the GGA-PBE level of DFT.

Cell: 8.9098 8.9098 6.6424 Å, 90.00 90.00 90.00°
Fractional coordinates of all 10 atoms:
Rb  0.1836  0.3164  0.0000
Rb  0.3164  0.8164  0.0000
Rb  0.6836  0.1836  0.0000
Rb  0.8164  0.6836  0.0000
Ba  0.0000  0.0000  0.5000
Ba  0.5000  0.5000  0.5000
Cl  0.2409  0.2591  0.5000
Cl  0.2591  0.7591  0.5000
Cl  0.7409  0.2409  0.5000
Cl  0.7591  0.7409  0.5000

**Magnetization**: 0.0 μB/f.u.
**Formation energy (no corrections)**: -1371 meV per atom
**Theoretical density**: 2.39 g cm⁻³

***

Among the records above, which one has the highest magnetization? Rb3BaCl

***

What is the magnetization in the third record? 0.7 μB/f.u.

***

Please write out number 3 again, unchanged.
Computed, not measured: an optimized crystal structure of RbBa2Cl at the GGA-PBE level of DFT.

Cell: 8.6401 8.6401 8.6401 Å, 105.31 105.31 118.16°
Fractional coordinates of all 8 atoms:
Rb  0.0000  0.0000  0.0000
Rb  0.7500  0.2500  0.5000
Ba  0.2444  0.1250  0.6194
Ba  0.3750  0.7556  0.8806
Ba  0.5056  0.6250  0.3806
Ba  0.8750  0.4944  0.1194
Cl  0.2500  0.7500  0.5000
Cl  0.5000  0.5000  0.0000

**Magnetization**: 0.7 μB/f.u.
**Formation energy (no corrections)**: -702 meV per atom
**Theoretical density**: 2.69 g cm⁻³